DFT (PBE) results for U2ReN after structural relaxation. Values from VASP.

Space group = No. 166
ΔE_f (raw) = 0.049 eV per atom
Size of the total moment = 0.400 Bohr magnetons per cell
Polymorph energy (0 for the lowest one) = 193 meV/atom

```
&SYSTEM
  ibrav = 0, nat = 4, ntyp = 3
/
ATOMIC_SPECIES
U 238.03 U.upf
Re 186.21 Re.upf
N 14.01 N.upf
CELL_PARAMETERS angstrom
2.612 1.508 3.066
-2.612 1.508 3.066
0.000 -3.016 3.066
ATOMIC_POSITIONS crystal
U 0.225 0.225 0.225
U 0.775 0.775 0.775
Re 0.500 0.500 0.500
N 0.000 0.000 0.000
```